# CeSiRu, optimized geometry, DFT PBEsol
# Energy (eV per atom): -8.2355
# Calculated volume (Å³ per atom): 19.07
# Symmetry: No. 129
data_CeSiRu
_space_group_name_H-M_alt 'P 1'
_space_group_IT_number 1
_cell_length_a 4.1526
_cell_length_b 4.1526
_cell_length_c 6.6355
_cell_angle_alpha 90.00
_cell_angle_beta 90.00
_cell_angle_gamma 90.00
loop_
_space_group_symop_operation_xyz
'x,y,z'
loop_
_atom_site_label
_atom_site_type_symbol
_atom_site_fract_x
_atom_site_fract_y
_atom_site_fract_z
_atom_site_occupancy
Ce1 Ce 0.5000 0.0000 0.6776 1
Si1 Si 0.5000 0.0000 0.1893 1
Ce2 Ce 0.0000 0.5000 0.3224 1
Ru1 Ru 0.5000 0.5000 0.0000 1
Ru2 Ru 0.0000 0.0000 0.0000 1
Si2 Si 0.0000 0.5000 0.8107 1